# 1
Density functional theory data (PBE) for crystalline Ta2B at its relaxed geometry.

abc: 5.280 5.280 5.280
angles: 60.00 60.00 60.00
Sites, in units of the cell vectors:
Ta: 0.625 0.625 0.625
Ta: 0.625 0.125 0.625
Ta: 0.625 0.625 0.125
B: 0.250 0.250 0.250
Ta: 0.125 0.625 0.625
B: 0.000 0.000 0.000

- calculated total energy (eV/atom) = -8.4338
- space group = Fd-3m, No. 227

=====

# 2
Density functional theory data (PBE) for crystalline SmY2Sn7 at its relaxed geometry.

abc: 13.486 13.486 4.478
angles: 90.00 90.00 161.13
Sites, in units of the cell vectors:
Sn: 0.597 0.403 0.000
Sn: 0.403 0.597 0.000
Y: 0.311 0.689 0.500
Sn: 0.904 0.096 0.500
Y: 0.689 0.311 0.500
Sm: 0.000 0.000 0.000
Sn: 0.500 0.500 0.500
Sn: 0.789 0.211 0.000
Sn: 0.096 0.904 0.500
Sn: 0.211 0.789 0.000

- calculated total energy (eV/atom) = -5.1281
- space group = Cmmm, No. 65

=====

# 3
Density functional theory data (PBE) for crystalline NdTmAlOs2 at its relaxed geometry.

abc: 5.657 5.657 5.657
angles: 136.24 120.64 76.59
Sites, in units of the cell vectors:
Os: 0.721 0.499 0.222
Os: 0.276 0.499 0.778
Tm: 0.298 0.798 0.500
Nd: 0.704 0.204 0.500
Al: 0.001 0.001 0.000

- calculated total energy (eV/atom) = -7.4293
- space group = Imm2, No. 44

=====

# 4
Density functional theory data (PBE) for crystalline Fe2S at its relaxed geometry.

abc: 4.785 4.785 3.403
angles: 90.00 90.00 90.00
Sites, in units of the cell vectors:
Fe: 0.689 0.689 0.000
S: 0.500 0.500 0.500
Fe: 0.811 0.189 0.500
Fe: 0.311 0.311 0.000
S: 0.000 0.000 0.000
Fe: 0.189 0.811 0.500

- calculated total energy (eV/atom) = -6.7534
- space group = P4_2/mnm, No. 136

=====

# 5
Density functional theory data (PBE) for crystalline Sr2Nb2O7 at its relaxed geometry.

abc: 3.982 5.722 13.480
angles: 90.00 81.51 90.00
Sites, in units of the cell vectors:
Nb: 0.163 0.992 0.674
O: 0.991 0.220 0.018
O: 0.201 0.261 0.598
Sr: 0.294 0.029 0.411
Sr: 0.448 0.460 0.104
O: 0.783 0.279 0.434
O: 0.349 0.456 0.303
Sr: 0.552 0.960 0.896
O: 0.092 0.151 0.816
O: 0.549 0.436 0.902
O: 0.114 0.658 0.772
O: 0.886 0.158 0.228
Nb: 0.837 0.492 0.326
Sr: 0.706 0.529 0.589
O: 0.799 0.761 0.402
Nb: 0.059 0.462 0.883
O: 0.651 0.956 0.697
O: 0.908 0.651 0.184
O: 0.009 0.720 0.982
Nb: 0.941 0.962 0.117
O: 0.217 0.779 0.566
O: 0.451 0.936 0.098

- calculated total energy (eV/atom) = -8.1423
- space group = Cmc2_1, No. 36

=====

# 6
Density functional theory data (PBE) for crystalline Pm2Re2Au at its relaxed geometry.

abc: 4.844 4.844 12.545
angles: 90.00 90.00 120.00
Sites, in units of the cell vectors:
Re: 0.667 0.333 0.339
Pm: 0.333 0.667 0.408
Re: 0.333 0.667 0.661
Pm: 0.667 0.333 0.592
Au: 0.000 0.000 0.250
Pm: 0.667 0.333 0.908
Pm: 0.333 0.667 0.092
Re: 0.333 0.667 0.839
Re: 0.667 0.333 0.161
Au: 0.000 0.000 0.750

- E_form (meV per atom) = 812.1
- calculated total energy (eV/atom) = -6.7085
- space group = P6_3/mmc, No. 194

=====

# 7
Density functional theory data (PBE) for crystalline KNpCu at its relaxed geometry.

abc: 5.046 5.046 5.046
angles: 60.00 60.00 60.00
Sites, in units of the cell vectors:
Np: 0.750 0.750 0.750
Cu: 0.000 0.000 0.000
K: 0.250 0.250 0.250

- calculated total energy (eV/atom) = -4.6771
- space group = F-43m, No. 216

=====

# 8
Density functional theory data (PBE) for crystalline HoNbRe at its relaxed geometry.

abc: 4.532 4.532 4.532
angles: 60.00 60.00 60.00
Sites, in units of the cell vectors:
Re: 0.750 0.750 0.750
Ho: 0.250 0.250 0.250
Nb: 0.000 0.000 0.000

- E_form (meV per atom) = 718.0
- calculated total energy (eV/atom) = -8.3132
- space group = F-43m, No. 216

=====

# 9
Density functional theory data (PBE) for crystalline LiAgGeTeSe2 at its relaxed geometry.

abc: 7.050 7.050 11.568
angles: 90.00 90.00 150.68
Sites, in units of the cell vectors:
Se: 0.865 0.135 0.456
Li: 0.271 0.729 0.250
Te: 0.401 0.599 0.750
Ge: 0.500 0.500 0.500
Se: 0.135 0.865 0.544
Li: 0.729 0.271 0.750
Te: 0.599 0.401 0.250
Ge: 0.500 0.500 0.000
Ag: 0.068 0.932 0.750
Se: 0.135 0.865 0.956
Se: 0.865 0.135 0.044
Ag: 0.932 0.068 0.250

- calculated total energy (eV/atom) = -3.4771
- space group = Cmcm, No. 63

=====

# 10
Density functional theory data (PBE) for crystalline AlFeW at its relaxed geometry.

abc: 4.115 4.115 4.115
angles: 60.00 60.00 60.00
Sites, in units of the cell vectors:
W: 0.000 0.000 0.000
Al: 0.250 0.250 0.250
Fe: 0.750 0.750 0.750

- calculated total energy (eV/atom) = -7.6484
- space group = F-43m, No. 216

=====

# 11
Density functional theory data (PBE) for crystalline KAuSe5 at its relaxed geometry.

abc: 9.185 11.168 11.168
angles: 97.75 114.28 114.28
Sites, in units of the cell vectors:
Se: 0.925 0.472 0.780
Se: 0.422 0.350 0.350
Se: 0.925 0.780 0.472
K: 0.000 0.000 0.000
Se: 0.451 0.788 0.560
Se: 0.327 0.280 0.972
Se: 0.896 0.060 0.288
Au: 0.130 0.380 0.880
Se: 0.549 0.440 0.212
Se: 0.673 0.720 0.028
Se: 0.075 0.528 0.220
Se: 0.578 0.650 0.650
Se: 0.549 0.212 0.440
Se: 0.104 0.712 0.940
Se: 0.327 0.972 0.280
K: 0.500 0.750 0.250
Se: 0.075 0.220 0.528
K: 0.000 0.500 0.500
Se: 0.104 0.940 0.712
Se: 0.722 0.150 0.150
Au: 0.870 0.120 0.620
Se: 0.673 0.028 0.720
K: 0.500 0.250 0.750
Se: 0.451 0.560 0.788
Au: 0.130 0.880 0.380
Au: 0.870 0.620 0.120
Se: 0.896 0.288 0.060
Se: 0.278 0.850 0.850

- calculated total energy (eV/atom) = -3.4542
- space group = Ibam, No. 72

=====

# 12
Density functional theory data (PBE) for crystalline TbHgSb at its relaxed geometry.

abc: 5.110 5.110 5.110
angles: 60.00 60.00 60.00
Sites, in units of the cell vectors:
Hg: 0.250 0.250 0.250
Sb: 0.000 0.000 0.000
Tb: 0.750 0.750 0.750

- calculated total energy (eV/atom) = -3.2560
- space group = F-43m, No. 216

=====

# 13
Density functional theory data (PBE) for crystalline KAgPdO3 at its relaxed geometry.

abc: 3.137 10.276 11.638
angles: 90.00 90.00 90.00
Sites, in units of the cell vectors:
O: 0.250 0.550 0.589
O: 0.750 0.450 0.411
Pd: 0.750 0.872 0.994
O: 0.750 0.716 0.095
O: 0.750 0.784 0.595
O: 0.750 0.303 0.599
Pd: 0.250 0.372 0.506
K: 0.250 0.148 0.726
O: 0.250 0.697 0.401
O: 0.750 0.197 0.099
Ag: 0.250 0.592 0.038
Ag: 0.250 0.908 0.538
K: 0.750 0.648 0.774
Pd: 0.250 0.128 0.006
Ag: 0.750 0.092 0.462
K: 0.750 0.852 0.274
O: 0.250 0.950 0.089
Pd: 0.750 0.628 0.494
O: 0.250 0.284 0.905
O: 0.250 0.803 0.901
O: 0.250 0.216 0.405
Ag: 0.750 0.408 0.962
K: 0.250 0.352 0.226
O: 0.750 0.050 0.911

- calculated total energy (eV/atom) = -4.5570
- space group = Pnma, No. 62

=====

# 14
Density functional theory data (PBE) for crystalline AcTbB at its relaxed geometry.

abc: 4.780 4.780 4.780
angles: 60.00 60.00 60.00
Sites, in units of the cell vectors:
Tb: 0.500 0.500 0.500
B: 0.250 0.250 0.250
Ac: 0.000 0.000 0.000

- calculated total energy (eV/atom) = -4.8370
- space group = F-43m, No. 216

=====

# 15
Density functional theory data (PBE) for crystalline ZrBeCd at its relaxed geometry.

abc: 4.503 4.503 4.503
angles: 60.00 60.00 60.00
Sites, in units of the cell vectors:
Be: 0.250 0.250 0.250
Cd: 0.750 0.750 0.750
Zr: 0.000 0.000 0.000

- calculated total energy (eV/atom) = -3.6246
- space group = F-43m, No. 216

=====

# 16
Density functional theory data (PBE) for crystalline Nb3Al at its relaxed geometry.

abc: 5.370 5.370 5.370
angles: 136.99 136.99 62.45
Sites, in units of the cell vectors:
Al: 0.000 0.000 0.000
Nb: 0.250 0.750 0.500
Nb: 0.750 0.250 0.500
Nb: 0.500 0.500 0.000

- calculated total energy (eV/atom) = -8.5722
- space group = I4/mmm, No. 139

=====

# 17
Density functional theory data (PBE) for crystalline Dy2Y2CBr3F2 at its relaxed geometry.

abc: 8.560 8.560 7.869
angles: 97.75 97.75 24.94
Sites, in units of the cell vectors:
Br: 0.500 0.500 0.500
Dy: 0.999 0.999 0.205
Dy: 0.001 0.001 0.795
F: 0.859 0.859 0.752
C: 0.500 0.500 0.000
Y: 0.643 0.643 0.068
F: 0.141 0.141 0.248
Br: 0.823 0.823 0.199
Y: 0.357 0.357 0.932
Br: 0.177 0.177 0.801

- calculated total energy (eV/atom) = -5.9397
- space group = C2/m, No. 12

=====

# 18
Density functional theory data (PBE) for crystalline KTmTeO at its relaxed geometry.

abc: 7.775 7.775 7.775
angles: 28.52 28.52 28.52
Sites, in units of the cell vectors:
Tm: 0.980 0.980 0.980
K: 0.512 0.512 0.512
O: 0.273 0.273 0.273
Te: 0.735 0.735 0.735

- calculated total energy (eV/atom) = -5.2287
- space group = R3m, No. 160

=====

# 19
Density functional theory data (PBE) for crystalline TlAgAu at its relaxed geometry.

abc: 4.683 4.683 4.683
angles: 60.00 60.00 60.00
Sites, in units of the cell vectors:
Ag: 0.250 0.250 0.250
Tl: 0.750 0.750 0.750
Au: 0.000 0.000 0.000

- calculated total energy (eV/atom) = -2.7397
- space group = F-43m, No. 216

=====

# 20
Density functional theory data (PBE) for crystalline Li4AlGa2Pt at its relaxed geometry.

abc: 4.317 4.317 6.170
angles: 90.00 90.00 90.00
Sites, in units of the cell vectors:
Li: 0.000 0.500 0.263
Al: 0.000 0.000 0.000
Li: 0.500 0.500 0.000
Pt: 0.500 0.500 0.500
Li: 0.500 0.000 0.737
Ga: 0.000 0.500 0.737
Li: 0.000 0.000 0.500
Ga: 0.500 0.000 0.263

- calculated total energy (eV/atom) = -3.4061
- space group = P-4m2, No. 115